<a>
YZrTl | SCAN | single point on PBEsol structure

a = 4.9722 Å, b = 4.9722 Å, c = 4.9722 Å
α = 60.00°, β = 60.00°, γ = 60.00°
Fractional coordinates of all 3 atoms:
1 Y 0.0000 0.0000 0.0000
2 Zr 0.2500 0.2500 0.2500
3 Tl 0.7500 0.7500 0.7500

Properties
DOS(E_F) = 1.635 states/eV per atom

<b>
YZrTl | SCAN | single point on PBEsol structure

a = 5.0264 Å, b = 5.0264 Å, c = 3.4910 Å
α = 90.00°, β = 90.00°, γ = 120.00°
Fractional coordinates of all 3 atoms:
1 Y 0.0000 0.0000 0.0000
2 Zr 0.3333 0.6667 0.5000
3 Tl 0.6667 0.3333 0.5000

Properties
DOS(E_F) = 0.764 states/eV per atom

<c>
YZrTl | SCAN | single point on PBEsol structure

a = 6.7597 Å, b = 6.7597 Å, c = 6.7597 Å
α = 150.52°, β = 150.52°, γ = 42.18°
Fractional coordinates of all 3 atoms:
1 Y 0.0000 0.0000 0.0000
2 Zr 0.6759 0.6759 0.0000
3 Tl 0.3289 0.3289 0.0000

Properties
DOS(E_F) = 0.588 states/eV per atom

Which of them is least stable? Easy: <a>.

<a>
ZrTl2Zn | SCAN | single point on PBEsol structure

a = 9.7535 Å, b = 9.7535 Å, c = 9.7535 Å
α = 19.09°, β = 19.09°, γ = 19.09°
Fractional coordinates of all 4 atoms:
1 Zr 0.0000 0.0000 0.0000
2 Tl 0.2450 0.2450 0.2450
3 Tl 0.7550 0.7550 0.7550
4 Zn 0.5000 0.5000 0.5000

Properties
DOS(E_F) = 0.697 states/eV per atom

<b>
ZrTl2Zn | SCAN | single point on PBEsol structure

a = 4.3788 Å, b = 4.3788 Å, c = 4.2843 Å
α = 90.00°, β = 90.00°, γ = 90.00°
Fractional coordinates of all 4 atoms:
1 Zr 0.0000 0.0000 0.0000
2 Tl 0.0000 0.5000 0.5000
3 Tl 0.5000 0.0000 0.5000
4 Zn 0.5000 0.5000 0.0000

Properties
DOS(E_F) = 0.350 states/eV per atom

Which of them is least stable? Easy: <a>.

<a>
ZrTl2Zn | SCAN | single point on PBEsol structure

a = 5.6765 Å, b = 5.6765 Å, c = 5.6765 Å
α = 136.92°, β = 136.92°, γ = 62.56°
Fractional coordinates of all 4 atoms:
1 Zr 0.0000 0.0000 0.0000
2 Tl 0.5000 0.5000 0.0000
3 Tl 0.7500 0.2500 0.5000
4 Zn 0.2500 0.7500 0.5000

Properties
DOS(E_F) = 0.781 states/eV per atom

<b>
ZrTl2Zn | SCAN | single point on PBEsol structure

a = 3.2791 Å, b = 4.1780 Å, c = 6.2039 Å
α = 90.00°, β = 90.00°, γ = 90.00°
Fractional coordinates of all 4 atoms:
1 Zr 0.0000 0.0000 0.0000
2 Tl 0.5000 0.5000 0.2562
3 Tl 0.5000 0.5000 0.7438
4 Zn 0.0000 0.0000 0.5000

Properties
DOS(E_F) = 0.693 states/eV per atom

Which of them is least stable? Easy: <b>.

<a>
Zr5Tl | SCAN | single point on PBEsol structure

a = 5.4501 Å, b = 5.4501 Å, c = 5.1616 Å
α = 90.00°, β = 90.00°, γ = 120.00°
Fractional coordinates of all 6 atoms:
1 Zr 0.0000 0.6741 0.0000
2 Zr 0.3259 0.3259 0.0000
3 Zr 0.3333 0.6667 0.5000
4 Zr 0.6667 0.3333 0.5000
5 Zr 0.6741 0.0000 0.0000
6 Tl 0.0000 0.0000 0.5000

Properties
DOS(E_F) = 0.718 states/eV per atom

<b>
Zr5Tl | SCAN | single point on PBEsol structure

a = 3.1350 Å, b = 3.1350 Å, c = 13.5535 Å
α = 90.00°, β = 90.00°, γ = 90.00°
Fractional coordinates of all 6 atoms:
1 Zr 0.0000 0.0000 0.0000
2 Zr 0.0000 0.0000 0.3307
3 Zr 0.0000 0.0000 0.6693
4 Zr 0.5000 0.5000 0.1640
5 Zr 0.5000 0.5000 0.8360
6 Tl 0.5000 0.5000 0.5000

Properties
DOS(E_F) = 1.175 states/eV per atom

Which of them is least stable? Easy: <b>.

<a>
Zr5Tl | SCAN | single point on PBEsol structure

a = 5.9896 Å, b = 5.9896 Å, c = 7.5943 Å
α = 104.81°, β = 104.81°, γ = 30.39°
Fractional coordinates of all 6 atoms:
1 Zr 0.0000 0.0000 0.0000
2 Zr 0.0410 0.0410 0.6297
3 Zr 0.3144 0.3144 0.6629
4 Zr 0.3830 0.3830 0.2905
5 Zr 0.6496 0.6496 0.3387
6 Tl 0.7247 0.7247 0.9616

Properties
DOS(E_F) = 0.860 states/eV per atom

<b>
Zr5Tl | SCAN | single point on PBEsol structure

a = 3.1764 Å, b = 5.1083 Å, c = 8.2750 Å
α = 90.00°, β = 98.32°, γ = 90.00°
Fractional coordinates of all 6 atoms:
1 Zr 0.0000 0.0000 0.0000
2 Zr 0.1174 0.5000 0.2329
3 Zr 0.4788 0.5000 0.9065
4 Zr 0.6198 0.0000 0.3404
5 Zr 0.8788 0.5000 0.5773
6 Tl 0.3766 0.0000 0.6783

Properties
DOS(E_F) = 1.105 states/eV per atom

<c>
Zr5Tl | SCAN | single point on PBEsol structure

a = 7.1945 Å, b = 7.1945 Å, c = 4.3634 Å
α = 90.00°, β = 90.00°, γ = 144.49°
Fractional coordinates of all 6 atoms:
1 Zr 0.0000 0.0000 0.0000
2 Zr 0.1667 0.8333 0.5000
3 Zr 0.3338 0.6662 0.0000
4 Zr 0.6662 0.3338 0.0000
5 Zr 0.8333 0.1667 0.5000
6 Tl 0.5000 0.5000 0.5000

Properties
DOS(E_F) = 1.083 states/eV per atom

Which of them is least stable? Easy: <b>.

<a>
Zr4Tl | SCAN | single point on PBEsol structure

a = 5.5084 Å, b = 5.5084 Å, c = 5.5084 Å
α = 98.47°, β = 98.47°, γ = 134.85°
Fractional coordinates of all 5 atoms:
1 Zr 0.1112 0.3068 0.4180
2 Zr 0.3068 0.8888 0.1956
3 Zr 0.6932 0.1112 0.8044
4 Zr 0.8888 0.6932 0.5820
5 Tl 0.5000 0.5000 0.0000

Properties
DOS(E_F) = 1.205 states/eV per atom

<b>
Zr4Tl | SCAN | single point on PBEsol structure

a = 7.6994 Å, b = 7.6994 Å, c = 7.6994 Å
α = 149.51°, β = 149.51°, γ = 43.65°
Fractional coordinates of all 5 atoms:
1 Zr 0.0882 0.0882 0.0000
2 Zr 0.2500 0.7500 0.5000
3 Zr 0.7500 0.2500 0.5000
4 Zr 0.9118 0.9118 0.0000
5 Tl 0.5000 0.5000 0.0000

Properties
DOS(E_F) = 0.800 states/eV per atom

Which of them is least stable? Easy: <b>.

<a>
W | SCAN | single point on PBEsol structure

a = 5.0320 Å, b = 5.0320 Å, c = 5.0320 Å
α = 90.00°, β = 90.00°, γ = 90.00°
Fractional coordinates of all 8 atoms:
1 W 0.0000 0.0000 0.0000
2 W 0.0000 0.2500 0.5000
3 W 0.0000 0.7500 0.5000
4 W 0.2500 0.5000 0.0000
5 W 0.5000 0.0000 0.2500
6 W 0.5000 0.0000 0.7500
7 W 0.5000 0.5000 0.5000
8 W 0.7500 0.5000 0.0000

Properties
DOS(E_F) = 0.233 states/eV per atom

<b>
W | SCAN | single point on PBEsol structure

a = 2.7299 Å, b = 2.7299 Å, c = 2.7299 Å
α = 109.47°, β = 109.47°, γ = 109.47°
Fractional coordinates of all 1 atoms:
1 W 0.0000 0.0000 0.0000

Properties
DOS(E_F) = 0.335 states/eV per atom

Which of them is least stable? Easy: <a>.

<a>
Y3W | SCAN | single point on PBEsol structure

a = 3.2315 Å, b = 4.8041 Å, c = 6.4378 Å
α = 90.00°, β = 102.04°, γ = 90.00°
Fractional coordinates of all 4 atoms:
1 Y 0.0000 0.0000 0.0000
2 Y 0.4029 0.5000 0.7229
3 Y 0.5971 0.5000 0.2771
4 W 0.0000 0.0000 0.5000

Properties
DOS(E_F) = 1.349 states/eV per atom

<b>
Y3W | SCAN | single point on PBEsol structure

a = 6.0852 Å, b = 6.0852 Å, c = 6.0852 Å
α = 117.23°, β = 117.23°, γ = 117.23°
Fractional coordinates of all 4 atoms:
1 Y 0.0000 0.5000 0.5000
2 Y 0.5000 0.0000 0.5000
3 Y 0.5000 0.5000 0.0000
4 W 0.0000 0.0000 0.0000

Properties
DOS(E_F) = 1.438 states/eV per atom

Which of them is least stable? Easy: <b>.